# 1
KCuPdBr2: PBEsol geometry, SCAN.

Output
**Density of states at the Fermi level**: 0.1129 states/eV/atom
**Raw formation energy**: 0.037 eV/atom

Cell lengths 4.875, 4.875, 5.466 Å; angles 90.00, 90.00, 90.00 degrees
Element x y z (fractional)
K (0.000, 0.000, 0.500)
Cu (0.000, 0.000, 0.000)
Br (0.000, 0.500, 0.000)
Br (0.500, 0.000, 0.000)
Pd (0.500, 0.500, 0.500)

---

# 2
Ni3ClF: PBEsol geometry, SCAN.

Output
**Density of states at the Fermi level**: 0.7244 states/eV/atom
**Raw formation energy**: 0.457 eV/atom

Cell lengths 4.073, 4.073, 4.073 Å; angles 90.00, 90.00, 90.00 degrees
Element x y z (fractional)
Ni (0.000, 0.500, 0.000)
Ni (0.000, 0.000, 0.500)
Ni (0.500, 0.000, 0.000)
F (0.500, 0.500, 0.500)
Cl (0.000, 0.000, 0.000)

---

# 3
Li2BeNi: PBEsol geometry, SCAN.

Output
**Density of states at the Fermi level**: 0.3340 states/eV/atom
**Final energy**: -24.97 eV for the cell shown

Cell lengths 2.563, 4.269, 4.859 Å; angles 116.06, 105.29, 90.00 degrees
Element x y z (fractional)
Be (0.226, 0.726, 0.452)
Li (0.986, 0.986, 0.972)
Li (0.762, 0.262, 0.524)
Ni (0.526, 0.526, 0.052)

---

- density of states at the Fermi level of number 3 (Li2BeNi)?
  0.3340 states/eV/atom

---

Please write out number 1 again, unchanged.
KCuPdBr2: PBEsol geometry, SCAN.

Output
**Density of states at the Fermi level**: 0.1129 states/eV/atom
**Raw formation energy**: 0.037 eV/atom

Cell lengths 4.875, 4.875, 5.466 Å; angles 90.00, 90.00, 90.00 degrees
Element x y z (fractional)
K (0.000, 0.000, 0.500)
Cu (0.000, 0.000, 0.000)
Br (0.000, 0.500, 0.000)
Br (0.500, 0.000, 0.000)
Pd (0.500, 0.500, 0.500)

---

- Which value of density of states at the Fermi level does entry 1 give?
  0.1129 states/eV/atom